w:
KHf3Ru GGA-PBE relaxed; crystal system = cubic; volume = 26.9 Å³/atom; spin magnetization = 0.000 μB per formula unit; DOS(E_F) = 7.50 states/eV/cell
1.0
5.122 0.000 0.000
0.000 5.122 0.000
0.000 0.000 5.122
K Hf Ru
1 3 1
Direct
0.000 0.000 0.000 K
0.000 0.500 0.500 Hf
0.500 0.000 0.500 Hf
0.500 0.500 0.000 Hf
0.500 0.500 0.500 Ru

x:
KHf3Ru GGA-PBE relaxed; crystal system = cubic; volume = 20.9 Å³/atom; spin magnetization = 0.000 μB per formula unit; DOS(E_F) = 6.93 states/eV/cell
1.0
4.713 0.000 0.000
0.000 4.713 0.000
0.000 0.000 4.713
K Hf Ru
1 3 1
Direct
0.000 0.000 0.000 K
0.000 0.000 0.500 Hf
0.000 0.500 0.000 Hf
0.500 0.000 0.000 Hf
0.500 0.500 0.500 Ru

Stability check: which of them is most stable? w.

w:
K2HfRu GGA-PBE relaxed; crystal system = tetragonal; volume = 46.1 Å³/atom; spin magnetization = 0.000 μB per formula unit; DOS(E_F) = 16.40 states/eV/cell
1.0
12.548 0.000 0.000
0.000 12.548 0.000
0.000 0.000 4.685
K Hf Ru
8 4 4
Direct
0.093 0.250 0.125 K
0.250 0.593 0.375 K
0.250 0.907 0.875 K
0.407 0.250 0.625 K
0.593 0.750 0.625 K
0.750 0.093 0.875 K
0.750 0.407 0.375 K
0.907 0.750 0.125 K
0.000 0.000 0.500 Hf
0.000 0.500 0.750 Hf
0.500 0.000 0.250 Hf
0.500 0.500 0.000 Hf
0.000 0.000 0.000 Ru
0.000 0.500 0.250 Ru
0.500 0.000 0.750 Ru
0.500 0.500 0.500 Ru

x:
K2HfRu GGA-PBE relaxed; crystal system = cubic; volume = 27.0 Å³/atom; spin magnetization = 0.001 μB per formula unit; DOS(E_F) = 12.90 states/eV/cell
1.0
7.564 0.000 0.000
0.000 7.564 0.000
0.000 0.000 7.564
K Hf Ru
8 4 4
Direct
0.250 0.250 0.250 K
0.250 0.250 0.750 K
0.250 0.750 0.250 K
0.250 0.750 0.750 K
0.750 0.250 0.250 K
0.750 0.250 0.750 K
0.750 0.750 0.250 K
0.750 0.750 0.750 K
0.000 0.000 0.000 Hf
0.000 0.500 0.500 Hf
0.500 0.000 0.500 Hf
0.500 0.500 0.000 Hf
0.000 0.000 0.500 Ru
0.000 0.500 0.000 Ru
0.500 0.000 0.000 Ru
0.500 0.500 0.500 Ru

Stability check: which of them is most stable? w.

w:
KHf2Ru GGA-PBE relaxed; crystal system = tetragonal; volume = 38.0 Å³/atom; spin magnetization = 0.000 μB per formula unit; DOS(E_F) = 21.20 states/eV/cell
1.0
6.344 0.000 0.000
0.000 6.344 0.000
0.000 0.000 15.111
K Hf Ru
4 8 4
Direct
0.000 0.250 0.375 K
0.000 0.750 0.625 K
0.500 0.250 0.125 K
0.500 0.750 0.875 K
0.000 0.000 0.000 Hf
0.000 0.500 0.000 Hf
0.250 0.250 0.750 Hf
0.250 0.750 0.250 Hf
0.500 0.000 0.500 Hf
0.500 0.500 0.500 Hf
0.750 0.250 0.750 Hf
0.750 0.750 0.250 Hf
0.000 0.250 0.875 Ru
0.000 0.750 0.125 Ru
0.500 0.250 0.625 Ru
0.500 0.750 0.375 Ru

x:
KHf2Ru GGA-PBE relaxed; crystal system = cubic; volume = 20.5 Å³/atom; spin magnetization = 0.000 μB per formula unit; DOS(E_F) = 17.02 states/eV/cell
1.0
6.892 0.000 0.000
0.000 6.892 0.000
0.000 0.000 6.892
K Hf Ru
4 8 4
Direct
0.000 0.000 0.000 K
0.000 0.500 0.500 K
0.500 0.000 0.500 K
0.500 0.500 0.000 K
0.250 0.250 0.250 Hf
0.250 0.250 0.750 Hf
0.250 0.750 0.250 Hf
0.250 0.750 0.750 Hf
0.750 0.250 0.250 Hf
0.750 0.250 0.750 Hf
0.750 0.750 0.250 Hf
0.750 0.750 0.750 Hf
0.000 0.000 0.500 Ru
0.000 0.500 0.000 Ru
0.500 0.000 0.000 Ru
0.500 0.500 0.500 Ru

Stability check: which of them is most stable? x.

w:
KHfRu2 GGA-PBE relaxed; crystal system = tetragonal; volume = 27.6 Å³/atom; spin magnetization = 0.000 μB per formula unit; DOS(E_F) = 18.35 states/eV/cell
1.0
4.978 0.000 0.000
0.000 4.978 0.000
0.000 0.000 17.818
K Hf Ru
4 4 8
Direct
0.000 0.000 0.000 K
0.000 0.500 0.250 K
0.500 0.000 0.750 K
0.500 0.500 0.500 K
0.000 0.000 0.500 Hf
0.000 0.500 0.750 Hf
0.500 0.000 0.250 Hf
0.500 0.500 0.000 Hf
0.028 0.250 0.625 Ru
0.250 0.528 0.875 Ru
0.250 0.972 0.375 Ru
0.472 0.250 0.125 Ru
0.528 0.750 0.125 Ru
0.750 0.028 0.375 Ru
0.750 0.472 0.875 Ru
0.972 0.750 0.625 Ru

x:
KHfRu2 GGA-PBE relaxed; crystal system = cubic; volume = 18.4 Å³/atom; spin magnetization = 0.000 μB per formula unit; DOS(E_F) = 19.69 states/eV/cell
1.0
6.658 0.000 0.000
0.000 6.658 0.000
0.000 0.000 6.658
K Hf Ru
4 4 8
Direct
0.000 0.000 0.000 K
0.000 0.500 0.500 K
0.500 0.000 0.500 K
0.500 0.500 0.000 K
0.000 0.000 0.500 Hf
0.000 0.500 0.000 Hf
0.500 0.000 0.000 Hf
0.500 0.500 0.500 Hf
0.250 0.250 0.250 Ru
0.250 0.250 0.750 Ru
0.250 0.750 0.250 Ru
0.250 0.750 0.750 Ru
0.750 0.250 0.250 Ru
0.750 0.250 0.750 Ru
0.750 0.750 0.250 Ru
0.750 0.750 0.750 Ru

Stability check: which of them is most stable? x.

w:
KHfS3 GGA-PBE relaxed; crystal system = orthorhombic; volume = 25.2 Å³/atom; spin magnetization = 0.000 μB per formula unit; DOS(E_F) = 2.99 states/eV/cell
1.0
2.246 -8.901 0.000
2.246 8.901 0.000
0.000 0.000 6.294
K Hf S
2 2 6
Direct
0.167 0.833 0.750 K
0.833 0.167 0.250 K
0.461 0.539 0.750 Hf
0.539 0.461 0.250 Hf
0.000 0.000 0.000 S
0.000 0.000 0.500 S
0.070 0.392 0.750 S
0.392 0.070 0.250 S
0.608 0.930 0.750 S
0.930 0.608 0.250 S

x:
KHfS3 GGA-PBE relaxed; crystal system = monoclinic; volume = 36.1 Å³/atom; spin magnetization = 0.000 μB per formula unit; DOS(E_F) = 0.00 states/eV/cell
1.0
8.922 -2.362 0.000
8.922 2.362 0.000
-5.904 0.000 8.568
K Hf S
2 2 6
Direct
0.121 0.121 0.439 K
0.879 0.879 0.561 K
0.311 0.311 0.177 Hf
0.689 0.689 0.823 Hf
0.171 0.171 0.893 S
0.253 0.253 0.324 S
0.483 0.483 0.385 S
0.517 0.517 0.615 S
0.747 0.747 0.676 S
0.829 0.829 0.107 S

y:
KHfS3 GGA-PBE relaxed; crystal system = tetragonal; volume = 29.1 Å³/atom; spin magnetization = 0.581 μB per formula unit; DOS(E_F) = 4.29 states/eV/cell
1.0
-2.231 2.231 14.606
2.231 -2.231 14.606
2.231 2.231 -14.606
K Hf S
2 2 6
Direct
0.000 0.000 0.000 K
0.750 0.250 0.500 K
0.130 0.630 0.500 Hf
0.370 0.870 0.500 Hf
0.325 0.325 0.000 S
0.358 0.098 0.260 S
0.675 0.675 0.000 S
0.838 0.098 0.740 S
0.902 0.162 0.260 S
0.902 0.642 0.740 S

z:
KHfS3 GGA-PBE relaxed; crystal system = hexagonal; volume = 20.9 Å³/atom; spin magnetization = 0.000 μB per formula unit; DOS(E_F) = 3.45 states/eV/cell
1.0
4.837 0.000 0.000
-2.419 4.189 0.000
0.000 0.000 10.332
K Hf S
2 2 6
Direct
0.333 0.667 0.250 K
0.667 0.333 0.750 K
0.000 0.000 0.000 Hf
0.000 0.000 0.500 Hf
0.000 0.000 0.250 S
0.000 0.000 0.750 S
0.333 0.667 0.536 S
0.333 0.667 0.964 S
0.667 0.333 0.036 S
0.667 0.333 0.464 S

Stability check: which of them is most stable? x.

w:
KHfS3 GGA-PBE relaxed; crystal system = monoclinic; volume = 27.7 Å³/atom; spin magnetization = 0.000 μB per formula unit; DOS(E_F) = 0.00 states/eV/cell
1.0
7.957 -1.917 0.000
7.957 1.917 0.000
-1.074 0.000 9.068
K Hf S
2 2 6
Direct
0.107 0.107 0.394 K
0.893 0.893 0.606 K
0.356 0.356 0.085 Hf
0.644 0.644 0.915 Hf
0.023 0.023 0.894 S
0.195 0.195 0.095 S
0.381 0.381 0.342 S
0.619 0.619 0.658 S
0.805 0.805 0.905 S
0.977 0.977 0.106 S

x:
KHfS3 GGA-PBE relaxed; crystal system = triclinic; volume = 30.7 Å³/atom; spin magnetization = 0.000 μB per formula unit; DOS(E_F) = 0.00 states/eV/cell
1.0
6.681 0.000 0.000
1.825 7.217 0.000
2.063 3.284 6.359
K Hf S
2 2 6
Direct
0.000 0.000 0.000 K
0.356 0.309 0.267 K
0.332 0.680 0.623 Hf
0.781 0.679 0.771 Hf
0.010 0.925 0.487 S
0.099 0.439 0.913 S
0.407 0.751 0.245 S
0.443 0.917 0.701 S
0.657 0.432 0.718 S
0.713 0.625 0.144 S

y:
KHfS3 GGA-PBE relaxed; crystal system = cubic; volume = 25.0 Å³/atom; spin magnetization = 0.000 μB per formula unit; DOS(E_F) = 2.60 states/eV/cell
1.0
4.998 0.000 0.000
0.000 4.998 0.000
0.000 0.000 4.998
K Hf S
1 1 3
Direct
0.000 0.000 0.000 K
0.500 0.500 0.500 Hf
0.000 0.500 0.500 S
0.500 0.000 0.500 S
0.500 0.500 0.000 S

z:
KHfS3 GGA-PBE relaxed; crystal system = orthorhombic; volume = 35.5 Å³/atom; spin magnetization = 0.000 μB per formula unit; DOS(E_F) = 1.04 states/eV/cell
1.0
3.819 0.000 0.000
0.000 5.600 0.000
0.000 0.000 16.588
K Hf S
2 2 6
Direct
0.000 0.000 0.000 K
0.000 0.500 0.500 K
0.500 0.000 0.726 Hf
0.500 0.500 0.226 Hf
0.000 0.239 0.173 S
0.000 0.261 0.673 S
0.000 0.739 0.673 S
0.000 0.761 0.173 S
0.500 0.000 0.863 S
0.500 0.500 0.363 S

Stability check: which of them is most stable? x.

w:
KHfS3 GGA-PBE relaxed; crystal system = trigonal; volume = 51.5 Å³/atom; spin magnetization = 1.000 μB per formula unit; DOS(E_F) = 0.00 states/eV/cell
1.0
8.373 0.000 0.000
-4.186 7.251 0.000
0.000 0.000 12.724
K Hf S
3 3 9
Direct
0.000 0.000 0.000 K
0.333 0.667 0.667 K
0.667 0.333 0.333 K
0.000 0.000 0.710 Hf
0.333 0.667 0.377 Hf
0.667 0.333 0.043 Hf
0.049 0.524 0.457 S
0.142 0.285 0.790 S
0.142 0.858 0.790 S
0.382 0.191 0.124 S
0.476 0.524 0.457 S
0.476 0.951 0.457 S
0.715 0.858 0.790 S
0.809 0.191 0.124 S
0.809 0.618 0.124 S

x:
KHfS3 GGA-PBE relaxed; crystal system = triclinic; volume = 30.8 Å³/atom; spin magnetization = 0.000 μB per formula unit; DOS(E_F) = 0.00 states/eV/cell
1.0
6.636 0.000 0.000
-1.124 7.384 0.000
-2.403 -3.614 6.295
K Hf S
2 2 6
Direct
0.104 0.334 0.192 K
0.896 0.666 0.808 K
0.282 0.009 0.580 Hf
0.718 0.991 0.420 Hf
0.069 0.252 0.712 S
0.370 0.055 0.944 S
0.487 0.224 0.485 S
0.513 0.776 0.515 S
0.630 0.945 0.056 S
0.931 0.748 0.288 S

y:
KHfS3 GGA-PBE relaxed; crystal system = monoclinic; volume = 27.6 Å³/atom; spin magnetization = 0.000 μB per formula unit; DOS(E_F) = 0.00 states/eV/cell
1.0
6.253 -6.847 0.000
6.253 6.847 0.000
-0.140 0.000 6.445
K Hf S
4 4 12
Direct
0.076 0.266 0.368 K
0.266 0.076 0.868 K
0.734 0.924 0.132 K
0.924 0.734 0.632 K
0.304 0.696 0.250 Hf
0.424 0.576 0.750 Hf
0.576 0.424 0.250 Hf
0.696 0.304 0.750 Hf
0.058 0.794 0.166 S
0.195 0.571 0.563 S
0.206 0.942 0.334 S
0.312 0.453 0.072 S
0.429 0.805 0.937 S
0.453 0.312 0.572 S
0.547 0.688 0.428 S
0.571 0.195 0.063 S
0.688 0.547 0.928 S
0.794 0.058 0.666 S
0.805 0.429 0.437 S
0.942 0.206 0.834 S

z:
KHfS3 GGA-PBE relaxed; crystal system = orthorhombic; volume = 24.2 Å³/atom; spin magnetization = 0.000 μB per formula unit; DOS(E_F) = 5.03 states/eV/cell
1.0
3.854 0.000 0.000
0.000 6.666 0.000
0.000 0.000 9.437
K Hf S
2 2 6
Direct
0.250 0.250 0.131 K
0.750 0.750 0.869 K
0.250 0.750 0.409 Hf
0.750 0.250 0.591 Hf
0.250 0.504 0.633 S
0.250 0.750 0.144 S
0.250 0.996 0.633 S
0.750 0.004 0.367 S
0.750 0.250 0.856 S
0.750 0.496 0.367 S

Stability check: which of them is most stable? y.

w:
KHfS3 GGA-PBE relaxed; crystal system = triclinic; volume = 27.0 Å³/atom; spin magnetization = 0.000 μB per formula unit; DOS(E_F) = 0.00 states/eV/cell
1.0
6.224 0.000 0.000
2.213 5.823 0.000
2.863 2.089 7.458
K Hf S
2 2 6
Direct
0.000 0.000 0.000 K
0.309 0.302 0.159 K
0.390 0.419 0.583 Hf
0.879 0.909 0.585 Hf
0.033 0.554 0.821 S
0.163 0.702 0.356 S
0.236 0.067 0.577 S
0.537 0.778 0.561 S
0.581 0.106 0.821 S
0.754 0.288 0.353 S

x:
KHfS3 GGA-PBE relaxed; crystal system = tetragonal; volume = 25.2 Å³/atom; spin magnetization = 0.000 μB per formula unit; DOS(E_F) = 0.54 states/eV/cell
1.0
-2.684 2.684 8.753
2.684 -2.684 8.753
2.684 2.684 -8.753
K Hf S
2 2 6
Direct
0.098 0.098 0.000 K
0.902 0.902 0.000 K
0.500 0.500 0.000 Hf
0.750 0.250 0.500 Hf
0.019 0.519 0.500 S
0.134 0.354 0.780 S
0.481 0.981 0.500 S
0.574 0.354 0.220 S
0.646 0.426 0.780 S
0.646 0.866 0.220 S

y:
KHfS3 GGA-PBE relaxed; crystal system = monoclinic; volume = 23.9 Å³/atom; spin magnetization = 0.000 μB per formula unit; DOS(E_F) = 0.00 states/eV/cell
1.0
7.877 0.000 0.000
0.000 6.499 0.000
-2.031 0.000 9.325
K Hf S
4 4 12
Direct
0.098 0.074 0.220 K
0.098 0.426 0.720 K
0.902 0.574 0.280 K
0.902 0.926 0.780 K
0.432 0.747 0.551 Hf
0.432 0.753 0.051 Hf
0.568 0.247 0.949 Hf
0.568 0.253 0.449 Hf
0.076 0.640 0.012 S
0.076 0.860 0.512 S
0.289 0.063 0.939 S
0.289 0.437 0.439 S
0.467 0.586 0.822 S
0.467 0.914 0.322 S
0.533 0.086 0.678 S
0.533 0.414 0.178 S
0.711 0.563 0.561 S
0.711 0.937 0.061 S
0.924 0.140 0.488 S
0.924 0.360 0.988 S

z:
KHfS3 GGA-PBE relaxed; crystal system = cubic; volume = 25.1 Å³/atom; spin magnetization = 0.003 μB per formula unit; DOS(E_F) = 6.15 states/eV/cell
1.0
5.008 0.000 0.000
0.000 5.008 0.000
0.000 0.000 5.008
K Hf S
1 1 3
Direct
0.000 0.000 0.000 K
0.500 0.500 0.500 Hf
0.000 0.000 0.500 S
0.000 0.500 0.000 S
0.500 0.000 0.000 S

Stability check: which of them is most stable? w.